Entry 1:
6
Lattice="4.203 -0.001 0.000 0.001 4.203 0.000 -0.001 -0.001 15.195" Properties=species:S:1:pos:R:3 comment="Ba4AlAg GGA-PBE relaxed" ef_ev_per_atom=-0.110 vol_a3_per_atom=44.74 de_polymorph_ev_per_atom=0.000 pbc="T T T"
Ba 2.101 2.100 13.247
Ba 0.000 0.000 5.647
Ag 2.102 2.101 7.598
Ba 2.102 2.101 1.949
Ba 4.203 4.202 9.549
Al 0.000 0.000 0.000

=====

Entry 2:
4
Lattice="3.156 0.000 0.000 0.000 3.156 0.000 0.000 0.000 5.593" Properties=species:S:1:pos:R:3 comment="Tc2NiRh GGA-PBE relaxed" ef_ev_per_atom=0.224 vol_a3_per_atom=13.92 de_polymorph_ev_per_atom=0.310 pbc="T T T"
Ni 1.578 1.578 1.398
Rh 1.578 1.578 4.195
Tc 0.000 0.000 2.603
Tc 0.000 0.000 0.193

=====

Repeat the first record exactly.
6
Lattice="4.203 -0.001 0.000 0.001 4.203 0.000 -0.001 -0.001 15.195" Properties=species:S:1:pos:R:3 comment="Ba4AlAg GGA-PBE relaxed" ef_ev_per_atom=-0.110 vol_a3_per_atom=44.74 de_polymorph_ev_per_atom=0.000 pbc="T T T"
Ba 2.101 2.100 13.247
Ba 0.000 0.000 5.647
Ag 2.102 2.101 7.598
Ba 2.102 2.101 1.949
Ba 4.203 4.202 9.549
Al 0.000 0.000 0.000

=====

Question: Which formula does entry 1 have?
Answer: Ba4AlAg